A geometry-optimized Nd2PuAl2Ru5 structure. Source: Alexandria via LeMat-Bulk, functional PBE.

Unit cell a=3.3930 b=10.3385 c=10.3385 alpha=90.00 beta=90.00 gamma=90.00
Sites, in units of the cell vectors:
Ru 0.5000 0.9338 0.2018
Ru 0.5000 0.5000 0.0000
Ru 0.5000 0.5662 0.7018
Ru 0.5000 0.7982 0.9338
Ru 0.5000 0.2982 0.5662
Ru 0.5000 0.0662 0.7982
Ru 0.5000 0.7018 0.4338
Ru 0.5000 0.0000 0.5000
Ru 0.5000 0.4338 0.2982
Ru 0.5000 0.2018 0.0662
Nd 0.0000 0.8284 0.6716
Nd 0.0000 0.6716 0.1716
Nd 0.0000 0.3284 0.8284
Nd 0.0000 0.1716 0.3284
Pu 0.0000 0.0000 0.0000
Pu 0.0000 0.5000 0.5000
Al 0.0000 0.8746 0.3746
Al 0.0000 0.1254 0.6254
Al 0.0000 0.3746 0.1254
Al 0.0000 0.6254 0.8746

Output
- formation energy from the elements (eV/atom) = -0.319

=====

A geometry-optimized Be2InHg structure. Source: Alexandria via LeMat-Bulk, functional PBE.

Unit cell a=6.4442 b=6.4442 c=6.4442 alpha=154.69 beta=142.66 gamma=45.64
Sites, in units of the cell vectors:
Be 0.9677 0.9677 0.0000
Be 0.8164 0.3164 0.5000
In 0.2155 0.7155 0.5000
Hg 0.5003 0.5003 0.0000

Output
- energy relative to the lowest polymorph listed for this composition (meV per atom) = 78
- formation energy from the elements (eV/atom) = 0.460

=====

- The lowest formation energy from the elements belongs to which entry?
  Nd2PuAl2Ru5

=====

What did the second record say?
A geometry-optimized Be2InHg structure. Source: Alexandria via LeMat-Bulk, functional PBE.

Unit cell a=6.4442 b=6.4442 c=6.4442 alpha=154.69 beta=142.66 gamma=45.64
Sites, in units of the cell vectors:
Be 0.9677 0.9677 0.0000
Be 0.8164 0.3164 0.5000
In 0.2155 0.7155 0.5000
Hg 0.5003 0.5003 0.0000

Output
- energy relative to the lowest polymorph listed for this composition (meV per atom) = 78
- formation energy from the elements (eV/atom) = 0.460

=====

- Which value of formation energy from the elements does entry 1 give?
  -0.319 eV/atom